Entry 1:
First-principles (PBE) data for Sr2SmCd after structural relaxation, as listed in the Alexandria database.

Geometry as POSCAR:
```
Sr2SmCd
1.0
1.916 1.106 12.553
-1.916 1.106 12.553
0.000 -2.213 12.553
Sr Sm Cd
2 1 1
direct
0.097 0.097 0.097
0.903 0.903 0.903
0.000 0.000 0.000
0.500 0.500 0.500
```

D(E_F) ... 1.442 states/eV/atom
Energy relative to the lowest polymorph listed for this composition ... 21.8 kJ/mol of atoms
Spin magnetization ... 0.7 μB/cell

---

Entry 2:
First-principles (PBE) data for TmPd7Pt2 after structural relaxation, as listed in the Alexandria database.

Geometry as POSCAR:
```
TmPd7Pt2
1.0
3.620 -6.427 0.000
3.620 6.427 0.000
0.000 0.000 4.490
Tm Pd Pt
1 7 2
direct
0.000 0.000 0.000
0.071 0.293 0.500
0.209 0.791 0.000
0.293 0.071 0.500
0.500 0.500 0.500
0.707 0.929 0.500
0.791 0.209 0.000
0.929 0.707 0.500
0.301 0.699 0.500
0.699 0.301 0.500
```

D(E_F) ... 1.472 states/eV/atom
Spin magnetization ... 0.0 μB/cell

---

Entry 3:
First-principles (PBE) data for MgAuCl2 after structural relaxation, as listed in the Alexandria database.

Geometry as POSCAR:
```
MgAuCl2
1.0
0.000 3.447 3.447
3.447 0.000 3.447
3.447 3.447 0.000
Mg Au Cl
1 1 2
direct
0.000 0.000 0.000
0.250 0.250 0.250
0.500 0.500 0.500
0.750 0.750 0.750
```

D(E_F) ... 0.935 states/eV/atom
Energy relative to the lowest polymorph listed for this composition ... 69.3 kJ/mol of atoms
Spin magnetization ... 0.0 μB/cell
ΔE_f (raw) ... -0.270 eV/atom

---

Number 1: calculated total energy -8.2 eV per cell. Number 2: calculated total energy -51.8 eV per cell. Number 3: calculated total energy -9.6 eV per cell.